Compound: KSrNiMo2
Source: Alexandria
Functional: GGA-PBE
Structure: optimized geometry

Cell: 4.645 5.715 4.645 Å, 90.00 90.00 90.00°
Fractional coordinates of all 5 atoms:
Sr1 0.000 0.500 0.000
Mo1 0.000 0.000 0.500
Mo2 0.500 0.000 0.000
K1 0.500 0.500 0.500
Ni1 0.000 0.000 0.000

Computed properties:
Raw total energy: -4.797 eV/atom
Magnetization: 0.0 μB/f.u.
Space group: P4/mmm
V: 24.66 Å³/atom
Formation energy: 6.2 eV/f.u.
D(E_F): 5.40 states/eV/cell